(1)
A relaxed structure of GaSnPt6, computed with GGA-PBE.

Cell lengths 4.751, 4.751, 7.287 Å; angles 72.49, 72.49, 70.63 degrees
Sites, in units of the cell vectors:
Pt (0.547, 0.067, 0.296)
Pt (0.453, 0.933, 0.704)
Pt (0.659, 0.659, 0.051)
Pt (0.341, 0.341, 0.949)
Pt (0.067, 0.547, 0.296)
Pt (0.933, 0.453, 0.704)
Sn (0.500, 0.500, 0.500)
Ga (0.000, 0.000, 0.000)

Calculated values
Formation enthalpy at 0 K in eV per atom: -0.22
ΔE to the lowest computed polymorph in kJ/mol of formula units: 165

---

(2)
A relaxed structure of GaSnPt2, computed with GGA-PBE.

Cell lengths 4.218, 5.488, 12.933 Å; angles 90.00, 90.00, 90.00 degrees
Sites, in units of the cell vectors:
Sn (0.250, 0.443, 0.666)
Sn (0.750, 0.057, 0.166)
Sn (0.250, 0.943, 0.834)
Sn (0.750, 0.557, 0.334)
Pt (0.250, 0.833, 0.265)
Pt (0.250, 0.333, 0.235)
Pt (0.750, 0.818, 0.985)
Pt (0.750, 0.318, 0.515)
Pt (0.750, 0.667, 0.765)
Pt (0.750, 0.167, 0.735)
Pt (0.250, 0.682, 0.485)
Pt (0.250, 0.182, 0.015)
Ga (0.750, 0.368, 0.927)
Ga (0.250, 0.632, 0.073)
Ga (0.250, 0.132, 0.427)
Ga (0.750, 0.868, 0.573)

Calculated values
Formation enthalpy at 0 K in eV per atom: -0.55

---

(3)
A relaxed structure of GaSnPt2, computed with GGA-PBE.

Cell lengths 4.090, 4.090, 5.665 Å; angles 68.84, 68.84, 60.00 degrees
Sites, in units of the cell vectors:
Pt (0.770, 0.770, 0.689)
Pt (0.230, 0.230, 0.311)
Ga (0.500, 0.500, 0.500)
Sn (0.000, 0.000, 0.000)

Calculated values
Formation enthalpy at 0 K in eV per atom: -0.40

---

(4)
A relaxed structure of GaSnPt5, computed with GGA-PBE.

Cell lengths 4.040, 4.040, 7.229 Å; angles 90.00, 90.00, 90.00 degrees
Sites, in units of the cell vectors:
Ga (0.500, 0.500, 0.000)
Sn (0.000, 0.000, 0.500)
Pt (0.000, 0.500, 0.218)
Pt (0.500, 0.000, 0.782)
Pt (0.500, 0.000, 0.218)
Pt (0.500, 0.500, 0.500)
Pt (0.000, 0.500, 0.782)

Calculated values
Formation enthalpy at 0 K in eV per atom: -0.40

---

(5)
A relaxed structure of GaSn2Pt9, computed with GGA-PBE.

Cell lengths 4.024, 4.024, 12.055 Å; angles 90.00, 90.00, 90.00 degrees
Sites, in units of the cell vectors:
Pt (0.000, 0.500, 0.159)
Pt (0.500, 0.000, 0.159)
Pt (0.500, 0.000, 0.841)
Pt (0.500, 0.500, 0.331)
Pt (0.500, 0.500, 0.669)
Pt (0.000, 0.500, 0.841)
Pt (0.500, 0.500, 0.000)
Pt (0.500, 0.000, 0.500)
Pt (0.000, 0.500, 0.500)
Ga (0.000, 0.000, 0.000)
Sn (0.000, 0.000, 0.328)
Sn (0.000, 0.000, 0.672)

Calculated values
Formation enthalpy at 0 K in eV per atom: -0.42

---

(6)
A relaxed structure of Ga2SnPt2, computed with GGA-PBE.

Cell lengths 7.834, 7.834, 2.857 Å; angles 90.00, 90.00, 90.00 degrees
Sites, in units of the cell vectors:
Pt (0.649, 0.149, 0.000)
Pt (0.149, 0.351, 0.000)
Pt (0.351, 0.851, 0.000)
Pt (0.851, 0.649, 0.000)
Sn (0.000, 0.000, 0.000)
Sn (0.500, 0.500, 0.000)
Ga (0.853, 0.353, 0.500)
Ga (0.647, 0.853, 0.500)
Ga (0.353, 0.147, 0.500)
Ga (0.147, 0.647, 0.500)

Calculated values
Formation enthalpy at 0 K in eV per atom: -0.44
ΔE to the lowest computed polymorph in kJ/mol of formula units: 22

---

(7)
A relaxed structure of GaSn2Pt3, computed with GGA-PBE.

Cell lengths 5.380, 7.184, 7.184 Å; angles 62.57, 83.94, 83.94 degrees
Sites, in units of the cell vectors:
Pt (0.495, 0.189, 0.149)
Pt (0.995, 0.149, 0.189)
Pt (0.505, 0.811, 0.851)
Pt (0.750, 0.554, 0.446)
Pt (0.250, 0.446, 0.554)
Pt (0.005, 0.851, 0.811)
Ga (0.250, 0.111, 0.889)
Ga (0.750, 0.889, 0.111)
Sn (0.812, 0.485, 0.834)
Sn (0.188, 0.515, 0.166)
Sn (0.312, 0.834, 0.485)
Sn (0.688, 0.166, 0.515)

Calculated values
Formation enthalpy at 0 K in eV per atom: -0.46

---

(8)
A relaxed structure of GaSnPt2, computed with GGA-PBE.

Cell lengths 5.711, 5.711, 7.320 Å; angles 67.04, 67.04, 90.00 degrees
Sites, in units of the cell vectors:
Pt (0.375, 0.401, 0.750)
Pt (0.599, 0.125, 0.250)
Pt (0.875, 0.849, 0.750)
Pt (0.151, 0.625, 0.250)
Sn (0.000, 0.000, 0.000)
Sn (0.750, 0.250, 0.500)
Ga (0.500, 0.500, 0.000)
Ga (0.250, 0.750, 0.500)

Calculated values
Formation enthalpy at 0 K in eV per atom: -0.20

---

(9)
A relaxed structure of SrGaSnPt3, computed with GGA-PBE.

Cell lengths 5.760, 6.806, 8.346 Å; angles 114.06, 90.00, 90.00 degrees
Sites, in units of the cell vectors:
Pt (0.500, 0.708, 0.000)
Pt (0.500, 0.292, 0.000)
Pt (0.000, 0.292, 0.000)
Pt (0.750, 0.760, 0.520)
Pt (0.250, 0.240, 0.480)
Pt (0.000, 0.708, 0.000)
Ga (0.750, 0.600, 0.200)
Ga (0.250, 0.400, 0.800)
Sn (0.250, 0.069, 0.138)
Sn (0.750, 0.931, 0.862)
Sr (0.750, 0.292, 0.584)
Sr (0.250, 0.708, 0.416)

Calculated values
Formation enthalpy at 0 K in eV per atom: -0.62

---

(10)
A relaxed structure of Sr3Ga2Sn2Pt4, computed with GGA-PBE.

Cell lengths 4.468, 4.468, 16.074 Å; angles 90.00, 90.00, 120.00 degrees
Sites, in units of the cell vectors:
Sn (0.667, 0.333, 0.430)
Sn (0.333, 0.667, 0.570)
Sr (0.000, 0.000, 0.270)
Sr (0.000, 0.000, 0.000)
Sr (0.000, 0.000, 0.730)
Pt (0.667, 0.333, 0.602)
Pt (0.333, 0.667, 0.868)
Pt (0.333, 0.667, 0.398)
Pt (0.667, 0.333, 0.132)
Ga (0.333, 0.667, 0.136)
Ga (0.667, 0.333, 0.864)

Calculated values
Formation enthalpy at 0 K in eV per atom: -0.75

---

(11)
A relaxed structure of Tb2Ga3SnPt4, computed with GGA-PBE.

Cell lengths 4.145, 4.145, 11.298 Å; angles 90.00, 90.00, 90.00 degrees
Sites, in units of the cell vectors:
Sn (0.500, 0.500, 0.500)
Pt (0.000, 0.000, 0.000)
Pt (0.500, 0.500, 0.000)
Pt (0.000, 0.500, 0.347)
Pt (0.500, 0.000, 0.653)
Ga (0.500, 0.000, 0.869)
Ga (0.000, 0.500, 0.131)
Ga (0.000, 0.000, 0.500)
Tb (0.000, 0.500, 0.756)
Tb (0.500, 0.000, 0.244)

Calculated values
Formation enthalpy at 0 K in eV per atom: -0.92

---

(12)
A relaxed structure of Ga2SnTePt, computed with GGA-PBE.

Cell lengths 4.867, 4.867, 5.382 Å; angles 90.00, 90.00, 90.00 degrees
Sites, in units of the cell vectors:
Ga (0.000, 0.500, 0.000)
Ga (0.500, 0.000, 0.000)
Pt (0.000, 0.000, 0.000)
Sn (0.000, 0.000, 0.500)
Te (0.500, 0.500, 0.500)

Calculated values
Formation energy without anion corrections in eV per atom: -0.3320

---

(13)
A relaxed structure of TiGaSnPt2, computed with GGA-PBE.

Cell lengths 4.661, 4.749, 4.661 Å; angles 90.00, 90.00, 90.00 degrees
Last column: magnetic moment on the atom in μB.
Sites, in units of the cell vectors:
Pt (0.500, 0.000, 0.000)  0.01
Pt (0.000, 0.000, 0.500)  0.00
Ti (0.000, 0.500, 0.000)  0.10
Sn (0.500, 0.500, 0.500)  0.00
Ga (0.000, 0.000, 0.000)  0.00

Calculated values
Formation enthalpy at 0 K in eV per atom: 0.25

---

(14)
A relaxed structure of Y2GaSnPt6, computed with GGA-PBE.

Cell lengths 5.615, 8.680, 5.613 Å; angles 71.38, 59.98, 90.00 degrees
Sites, in units of the cell vectors:
Y (0.207, 0.622, 0.587)
Y (0.793, 0.378, 0.413)
Pt (0.754, 0.753, 0.493)
Pt (0.245, 0.753, 0.002)
Pt (0.246, 0.247, 0.507)
Pt (0.755, 0.247, 0.998)
Pt (0.247, 0.247, 0.997)
Pt (0.753, 0.753, 0.003)
Sn (0.500, 0.500, 0.000)
Ga (0.000, 0.000, 0.000)

Calculated values
Formation enthalpy at 0 K in eV per atom: -0.71

---

(15)
A relaxed structure of Sr2Ga7Pt12, computed with GGA-PBE.

Cell lengths 4.132, 10.135, 10.135 Å; angles 120.00, 90.00, 90.00 degrees
Sites, in units of the cell vectors:
Ga (0.000, 0.713, 0.919)
Ga (0.500, 0.643, 0.575)
Ga (0.000, 0.206, 0.287)
Ga (0.500, 0.425, 0.067)
Ga (0.500, 0.933, 0.357)
Ga (0.000, 0.081, 0.794)
Ga (0.000, 0.333, 0.667)
Pt (0.000, 0.801, 0.723)
Pt (0.500, 0.393, 0.302)
Pt (0.000, 0.051, 0.530)
Pt (0.500, 0.221, 0.463)
Pt (0.500, 0.698, 0.091)
Pt (0.000, 0.478, 0.949)
Pt (0.500, 0.537, 0.758)
Pt (0.000, 0.470, 0.522)
Pt (0.500, 0.909, 0.607)
Pt (0.000, 0.922, 0.199)
Pt (0.500, 0.242, 0.779)
Pt (0.000, 0.277, 0.078)
Sr (0.000, 0.667, 0.333)
Sr (0.500, 0.000, 0.000)

Calculated values
Formation enthalpy at 0 K in eV per atom: -0.70

---

(16)
A relaxed structure of Sr2Ga4Pt5, computed with GGA-PBE.

Cell lengths 5.732, 5.735, 8.279 Å; angles 80.04, 69.75, 60.02 degrees
Sites, in units of the cell vectors:
Pt (0.750, 0.500, 0.500)
Pt (0.500, 0.000, 0.000)
Pt (0.250, 0.500, 0.500)
Pt (0.500, 0.500, 0.000)
Pt (0.000, 0.500, 0.000)
Sr (0.128, 0.000, 0.744)
Sr (0.872, 0.000, 0.256)
Ga (0.532, 0.679, 0.257)
Ga (0.211, 0.321, 0.257)
Ga (0.789, 0.679, 0.743)
Ga (0.468, 0.321, 0.743)

Calculated values
Formation enthalpy at 0 K in eV per atom: -0.85

---

(17)
A relaxed structure of Sr2Ga3Pt2, computed with GGA-PBE.

Cell lengths 4.484, 7.322, 9.747 Å; angles 90.00, 103.30, 90.00 degrees
Sites, in units of the cell vectors:
Ga (0.768, 0.250, 0.537)
Ga (0.440, 0.576, 0.880)
Ga (0.560, 0.424, 0.120)
Ga (0.440, 0.924, 0.880)
Ga (0.232, 0.750, 0.463)
Ga (0.560, 0.076, 0.120)
Sr (0.066, 0.750, 0.132)
Sr (0.158, 0.250, 0.316)
Sr (0.934, 0.250, 0.868)
Sr (0.842, 0.750, 0.684)
Pt (0.687, 0.555, 0.374)
Pt (0.313, 0.445, 0.626)
Pt (0.687, 0.945, 0.374)
Pt (0.313, 0.055, 0.626)

Calculated values
Formation enthalpy at 0 K in eV per atom: -0.64

---

(18)
A relaxed structure of Sr2Ga7Pt, computed with GGA-PBE.

Cell lengths 4.437, 4.437, 10.789 Å; angles 90.00, 90.00, 90.00 degrees
Sites, in units of the cell vectors:
Sr (0.000, 0.500, 0.244)
Sr (0.500, 0.000, 0.756)
Ga (0.500, 0.500, 0.500)
Ga (0.000, 0.000, 0.500)
Ga (0.500, 0.000, 0.364)
Ga (0.000, 0.500, 0.636)
Ga (0.000, 0.500, 0.875)
Ga (0.000, 0.000, 0.000)
Ga (0.500, 0.000, 0.125)
Pt (0.500, 0.500, 0.000)

Calculated values
Formation enthalpy at 0 K in eV per atom: -0.52

---

(19)
A relaxed structure of Sr4Ga3Pt, computed with GGA-PBE.

Cell lengths 4.736, 4.448, 11.564 Å; angles 90.00, 90.00, 90.00 degrees
Sites, in units of the cell vectors:
Ga (0.000, 0.500, 0.560)
Ga (0.500, 0.000, 0.948)
Ga (0.000, 0.000, 0.438)
Pt (0.500, 0.500, 0.056)
Sr (0.500, 0.000, 0.642)
Sr (0.000, 0.500, 0.864)
Sr (0.000, 0.000, 0.143)
Sr (0.500, 0.500, 0.349)

Calculated values
Formation enthalpy at 0 K in eV per atom: -0.55

---

(20)
A relaxed structure of Sr3GaPt, computed with GGA-PBE.

Cell lengths 5.845, 5.845, 5.845 Å; angles 90.00, 90.00, 90.00 degrees
Sites, in units of the cell vectors:
Pt (0.000, 0.000, 0.000)
Ga (0.500, 0.500, 0.500)
Sr (0.500, 0.000, 0.000)
Sr (0.000, 0.000, 0.500)
Sr (0.000, 0.500, 0.000)

Calculated values
Formation enthalpy at 0 K in eV per atom: -0.35
ΔE to the lowest computed polymorph in kJ/mol of formula units: 0

---

(21)
A relaxed structure of SrGa4Pt6, computed with GGA-PBE.

Cell lengths 6.677, 6.677, 6.677 Å; angles 91.91, 118.91, 118.91 degrees
Sites, in units of the cell vectors:
Pt (0.000, 0.768, 0.449)
Pt (0.319, 0.551, 0.551)
Pt (0.681, 0.232, 0.232)
Pt (0.500, 0.500, 0.000)
Pt (0.500, 0.000, 0.500)
Pt (0.000, 0.449, 0.768)
Sr (0.000, 0.000, 0.000)
Ga (0.403, 0.876, 0.876)
Ga (0.000, 0.124, 0.526)
Ga (0.597, 0.474, 0.474)
Ga (0.000, 0.526, 0.124)

Calculated values
Formation enthalpy at 0 K in eV per atom: -0.52
ΔE to the lowest computed polymorph in kJ/mol of formula units: 241

---

(22)
A relaxed structure of SrGa2Pt8, computed with GGA-PBE.

Cell lengths 5.302, 5.302, 8.798 Å; angles 90.00, 90.00, 90.00 degrees
Sites, in units of the cell vectors:
Pt (0.248, 0.248, 0.794)
Pt (0.752, 0.752, 0.794)
Pt (0.248, 0.752, 0.794)
Pt (0.248, 0.752, 0.206)
Pt (0.752, 0.248, 0.206)
Pt (0.752, 0.752, 0.206)
Pt (0.248, 0.248, 0.206)
Pt (0.752, 0.248, 0.794)
Sr (0.500, 0.500, 0.500)
Ga (0.500, 0.000, 0.000)
Ga (0.000, 0.500, 0.000)

Calculated values
Formation enthalpy at 0 K in eV per atom: -0.19